No. 1
ScNbSeBr2 meta-GGA SCAN PBEsol geometry; size of the total moment = 3.712 μB per formula unit; formation energy (no corrections) = -252 meV/atom; DOS at the Fermi energy = 4.06 states/eV/cell
1.0
-1.040 -4.488 -1.986
3.447 -2.148 3.050
-3.579 -0.733 3.529
Sc Nb Se Br
1 1 1 2
Cartesian
-0.586 -3.684 2.296
0.000 0.000 0.000
-0.520 -2.244 -0.993
-1.789 -0.366 1.764
1.724 -1.074 1.525

***

No. 2
NbSe2Br2 meta-GGA SCAN PBEsol geometry; size of the total moment = 0.000 μB per formula unit; formation energy (no corrections) = -847 meV/atom
1.0
6.578 0.000 -0.038
3.289 5.824 -0.019
2.534 0.000 6.681
Nb Se Br
2 4 4
Cartesian
6.578 1.474 -0.038
3.289 4.350 -0.019
2.606 0.000 4.505
4.506 0.000 5.798
4.606 0.000 0.846
6.507 0.000 2.139
5.348 3.394 1.493
7.054 2.430 5.132
2.058 2.430 1.512
10.343 3.394 5.113

***

No. 3
Nb3Se5Br7 meta-GGA SCAN PBEsol geometry; size of the total moment = 0.000 μB per formula unit; formation energy (no corrections) = -860 meV/atom
1.0
-2.608 4.883 -5.500
0.028 -7.743 -3.286
-12.140 -1.807 4.153
Nb Se Br
6 10 14
Cartesian
-8.610 -2.176 -1.561
-6.110 -2.491 -3.071
-2.647 -1.976 -4.256
-12.074 -2.691 -0.376
-9.375 -0.917 2.518
-5.346 -3.750 -7.151
-9.301 -6.621 0.254
-5.420 1.954 -4.886
-0.937 -1.791 -2.274
-13.784 -2.875 -2.359
-8.461 -2.083 -4.180
-6.260 -2.583 -0.453
-7.175 -4.376 -1.601
-7.546 -0.291 -3.031
-2.113 0.518 -4.890
-12.608 -5.185 0.258
-8.401 -0.043 0.213
-6.320 -4.623 -4.845
-2.997 -4.129 -5.982
-11.724 -0.538 1.350
-9.752 3.031 -2.415
-4.969 -7.697 -2.217
-1.636 -7.201 -3.358
-13.084 2.535 -1.275
-9.626 -3.176 0.801
-5.095 -1.491 -5.434
-10.906 -0.784 -1.901
-3.814 -3.883 -2.732
-10.525 -4.012 -2.190
-4.196 -0.655 -2.443

***

- Among the records above, which one has the lowest formation energy (no corrections)?
  Nb3Se5Br7